No. 1
Entry from the Alexandria database: a geometry-optimized KMg2Fe structure (GGA-PBE).

Calculated values
The energy above the most stable polymorph in this dataset is 0.000 eV per atom. For the mass density, the calculation gives 2.372 g cm⁻³. The formation energy is 0.394 eV/atom. The value obtained for the density of states at the Fermi level is 0.754 states/eV per atom. The volume is 100.5 Å³/f.u.

a = 3.2706 Å, b = 3.2680 Å, c = 9.9614 Å
α = 70.75°, β = 90.00°, γ = 90.00°
Site moments in Bohr magnetons follow the coordinates.
Atoms (fractional coordinates):
Mg (0.0000, 0.5857, 0.4140)  -0.03
K (0.5000, 0.7500, 0.7500)  0.02
Fe (0.5000, 0.2500, 0.2500)  2.66
Mg (0.0000, 0.9143, 0.0860)  -0.03

No. 2
Entry from the Alexandria database: a geometry-optimized KMgFe structure (GGA-PBE).

Calculated values
The energy above the most stable polymorph in this dataset is 0.107 eV per atom. For the mass density, the calculation gives 2.840 g cm⁻³. The formation energy is 0.809 eV/atom. The value obtained for the density of states at the Fermi level is 0.811 states/eV per atom. The volume is 69.7 Å³/f.u.

a = 3.0988 Å, b = 3.0988 Å, c = 8.3858 Å
α = 90.00°, β = 90.00°, γ = 120.00°
Site moments in Bohr magnetons follow the coordinates.
Atoms (fractional coordinates):
K (0.6667, 0.3333, 0.3113)  -0.05
Fe (0.0000, 0.0000, 0.9711)  2.74
Mg (0.3333, 0.6667, 0.7176)  -0.03

No. 3
Entry from the Alexandria database: a geometry-optimized KMg2Fe structure (GGA-PBE).

Calculated values
The energy above the most stable polymorph in this dataset is 0.133 eV per atom. For the mass density, the calculation gives 2.227 g cm⁻³. The formation energy is 0.528 eV/atom. The value obtained for the density of states at the Fermi level is 0.950 states/eV per atom. The volume is 107.0 Å³/f.u.

a = 3.5081 Å, b = 3.5081 Å, c = 8.6957 Å
α = 90.00°, β = 90.00°, γ = 90.00°
Site moments in Bohr magnetons follow the coordinates.
Atoms (fractional coordinates):
Mg (0.5000, 0.5000, 0.2935)  -0.03
Mg (0.0000, 0.0000, 0.0782)  -0.01
K (0.5000, 0.5000, 0.7192)  -0.01
Fe (0.0000, 0.0000, 0.4091)  2.74

No. 4
Entry from the Alexandria database: a geometry-optimized KMg2Fe structure (GGA-PBE).

Calculated values
The energy above the most stable polymorph in this dataset is 0.540 eV per atom. For the mass density, the calculation gives 2.660 g cm⁻³. The formation energy is 0.935 eV/atom. The value obtained for the density of states at the Fermi level is 3.204 states/eV per atom. The volume is 89.6 Å³/f.u.

a = 5.0233 Å, b = 5.0233 Å, c = 5.0233 Å
α = 60.00°, β = 60.00°, γ = 60.00°
Atoms (fractional coordinates):
Fe (0.5000, 0.5000, 0.5000)
Mg (0.2500, 0.2500, 0.2500)
K (0.0000, 0.0000, 0.0000)
Mg (0.7500, 0.7500, 0.7500)